GGA-PBE CsMgHg2Sb, optimized geometry; raw formation energy = -0.19 eV per atom; symmetry = P4/mmm (123)
1.0
-3.6384 3.5666 -2.8467
-4.0752 -0.9013 4.0795
1.9217 4.2401 2.8564
Hg Cs Sb Mg
2 1 1 1
Direct
0.5000 0.0000 0.0000
0.0000 0.5000 0.0000
0.5000 0.5000 0.5000
0.0000 0.0000 0.5000
0.0000 0.0000 0.0000

GGA-PBE ReSb3Pd, optimized geometry; raw formation energy = 1.26 eV per atom; symmetry = Pm-3m (221)
1.0
5.1296 0.0000 0.0000
0.0000 5.1296 0.0000
0.0000 0.0000 5.1296
Sb Pd Re
3 1 1
Direct
0.5000 0.0000 0.0000
0.0000 0.0000 0.5000
0.0000 0.5000 0.0000
0.0000 0.0000 0.0000
0.5000 0.5000 0.5000

GGA-PBE Y2AlTl, optimized geometry; energy relative to the elements = -259 meV/atom; symmetry = R-3m (166)
1.0
9.7644 0.0218 0.0129
9.0746 3.6049 0.0129
9.0746 1.7469 3.1533
Al Tl Y
1 1 2
Direct
0.2500 0.2500 0.2500
0.7500 0.7500 0.7500
0.9932 0.9932 0.9932
0.5068 0.5068 0.5068

GGA-PBE PrIn6Pd4, optimized geometry; energy relative to the elements = -523 meV/atom; symmetry = P-6m2 (187)
1.0
-3.1126 -0.7634 2.9747
4.5105 -5.5433 3.2971
0.5121 7.4616 2.4506
Pd In Pr
4 6 1
Direct
0.0000 0.3333 0.6667
0.5000 0.7948 0.2052
0.5000 0.4105 0.2052
0.5000 0.7948 0.5895
0.0000 0.9310 0.4655
0.5000 0.1944 0.3888
0.5000 0.6112 0.8056
0.0000 0.5345 0.4655
0.0000 0.5345 0.0690
0.5000 0.1944 0.8056
0.0000 0.0000 0.0000

GGA-PBE YTaBrF2, optimized geometry; raw formation energy = -1.44 eV per atom; symmetry = P4/mmm (123)
1.0
-2.8562 2.3113 2.1796
-4.7255 -2.1086 -3.9563
-0.6982 -3.3160 2.6014
F Y Ta Br
2 1 1 1
Direct
0.5000 0.0000 0.0000
0.0000 0.0000 0.5000
0.0000 0.0000 0.0000
0.0000 0.5000 0.0000
0.5000 0.5000 0.5000